A relaxed LiFeW2F crystal, computed with GGA+U.

Cell and atoms, written as POSCAR:
```
LiFeW2F
1.0
-2.0856 -3.5700 0.9155
3.4144 -1.2817 2.7801
-1.9084 1.9460 3.2410
Li Fe W F
1 1 2 1
direct
0.5000 0.5000 0.5000
0.0000 0.5000 0.0000
0.0000 0.0000 0.5000
0.5000 0.0000 0.0000
0.0000 0.0000 0.0000
```

Output
- ρ: 9.1 Mg/m³
- DOS(E_F): 3.0 states/eV/f.u.
- Raw total energy: -18.01 eV per cell